No. 1
! Dy3Y6Ho2Sc (GGA-PBE, optimized geometry); values from VASP
! VASP energy = -67.681 eV for the cell shown
! magnetic moment = 0.0 μB/cell
&SYSTEM
  ibrav = 0, nat = 12, ntyp = 4
/
ATOMIC_SPECIES
Dy 162.50 Dy.upf
Y 88.91 Y.upf
Ho 164.93 Ho.upf
Sc 44.96 Sc.upf
CELL_PARAMETERS angstrom
6.1155 0.0018 -0.0011
-3.0547 5.2979 -0.0011
-1.0147 -1.7570 11.5271
ATOMIC_POSITIONS crystal
Dy 0.1665 0.8335 0.5000
Dy 0.8335 0.1665 0.5000
Dy 0.5000 0.5000 0.5000
Y 0.9180 0.5869 0.7528
Y 0.7510 0.7510 0.2475
Y 0.0820 0.4131 0.2472
Y 0.5869 0.9180 0.7528
Y 0.2490 0.2490 0.7525
Y 0.4131 0.0820 0.2472
Ho 0.3334 0.6666 0.0000
Ho 0.6666 0.3334 0.0000
Sc 0.0000 0.0000 0.0000

***

No. 2
! B3CBr (GGA-PBE, optimized geometry); values from VASP
! magnetic moment = 0.0 μB/cell
! distance to the lowest polymorph of the same formula = 0.000 eV/f.u.
&SYSTEM
  ibrav = 0, nat = 5, ntyp = 3
/
ATOMIC_SPECIES
C 12.01 C.upf
B 10.81 B.upf
Br 79.90 Br.upf
CELL_PARAMETERS angstrom
-0.6578 0.3361 3.5940
3.4231 -1.1013 0.7295
1.1456 3.4838 -0.1161
ATOMIC_POSITIONS crystal
C 0.0000 0.0000 0.0000
B 0.0000 0.5000 0.0000
B 0.0000 0.0000 0.5000
B 0.5000 0.0000 0.0000
Br 0.5000 0.5000 0.5000

***

No. 3
! AcSmErZn (GGA-PBE, optimized geometry); values from VASP
! VASP energy = -13.933 eV for the cell shown
! magnetic moment = 0.0 μB/cell
&SYSTEM
  ibrav = 0, nat = 4, ntyp = 4
/
ATOMIC_SPECIES
Ac 227.00 Ac.upf
Zn 65.41 Zn.upf
Sm 150.36 Sm.upf
Er 167.26 Er.upf
CELL_PARAMETERS angstrom
5.5449 0.0000 0.0000
2.7724 4.8020 0.0000
2.7724 1.6007 4.5274
ATOMIC_POSITIONS crystal
Ac 0.5000 0.5000 0.5000
Zn 0.0000 0.0000 0.0000
Sm 0.2500 0.2500 0.2500
Er 0.7500 0.7500 0.7500